Entry one
This record from the Alexandria database describes an optimized crystal structure of InPd3Pt2. The functional is GGA-PBE.

Unit cell a=4.0199 b=5.6719 c=8.4907 alpha=88.72 beta=90.00 gamma=90.00
Closest atoms and distances in Å follow each position.
Element x y z (fractional)
In  0.2500  0.8704  0.7480  7 Pd 2.82-2.84, 5 Pt 2.83-2.89
In  0.7500  0.1296  0.2520  7 Pd 2.82-2.84, 5 Pt 2.83-2.89
Pd  0.7500  0.1265  0.5841  5 Pt 2.79-2.88, 3 In 2.82-2.83, 4 Pd 2.83-2.87
Pd  0.2500  0.8735  0.4159  5 Pt 2.79-2.88, 3 In 2.82-2.83, 4 Pd 2.83-2.87
Pd  0.7500  0.6302  0.2493  5 Pt 2.80-2.83, 5 Pd 2.83-2.86, 2 In 2.83-2.84
Pd  0.2500  0.3698  0.7507  5 Pt 2.80-2.83, 5 Pd 2.83-2.86, 2 In 2.83-2.84
Pd  0.2500  0.3769  0.0842  5 Pt 2.81-2.86, 5 Pd 2.82-2.86, 2 In 2.82
Pd  0.7500  0.6231  0.9158  5 Pt 2.81-2.86, 5 Pd 2.82-2.86, 2 In 2.82
Pt  0.2500  0.3817  0.4181  8 Pd 2.79-2.88, 2 Pt 2.80, 2 In 2.86
Pt  0.7500  0.6183  0.5819  8 Pd 2.79-2.88, 2 Pt 2.80, 2 In 2.86
Pt  0.7500  0.1280  0.9185  7 Pd 2.80-2.86, 2 Pt 2.82, 3 In 2.83-2.89
Pt  0.2500  0.8720  0.0815  7 Pd 2.80-2.86, 2 Pt 2.82, 3 In 2.83-2.89

Results
total magnetization	0.000	Bohr magnetons per cell

Entry two
This record from the Alexandria database describes an optimized crystal structure of InPd3Pt2. The functional is GGA-PBE.

Unit cell a=5.5349 b=7.4698 c=7.4698 alpha=40.31 beta=90.00 gamma=90.00
Closest atoms and distances in Å follow each position.
Element x y z (fractional)
In  0.7500  0.2611  0.7389  6 Pd 2.57-2.77
In  0.2500  0.7389  0.2611  6 Pd 2.57-2.77
Pd  0.7500  0.7598  0.2402  4 In 2.57-2.77, 2 Pd 2.79, 4 Pt 2.86
Pd  0.2500  0.2402  0.7598  4 In 2.57-2.77, 2 Pd 2.79, 4 Pt 2.86
Pd  0.7500  0.3309  0.3181  6 Pt 2.75-2.97, 1 In 2.77, 3 Pd 2.77-2.79
Pd  0.2500  0.6691  0.6819  6 Pt 2.75-2.97, 1 In 2.77, 3 Pd 2.77-2.79
Pd  0.7500  0.6819  0.6691  6 Pt 2.75-2.97, 1 In 2.77, 3 Pd 2.77-2.79
Pd  0.2500  0.3181  0.3309  6 Pt 2.75-2.97, 1 In 2.77, 3 Pd 2.77-2.79
Pt  0.0000  0.1548  0.1548  8 Pd 2.75-2.97, 2 Pt 2.77, 2 In 2.90
Pt  0.5000  0.8452  0.8452  8 Pd 2.75-2.97, 2 Pt 2.77, 2 In 2.90
Pt  0.0000  0.8452  0.8452  8 Pd 2.75-2.97, 2 Pt 2.77, 2 In 2.90
Pt  0.5000  0.1548  0.1548  8 Pd 2.75-2.97, 2 Pt 2.77, 2 In 2.90

Results
total magnetization	0.000	Bohr magnetons per cell

Which is most stable, and by how much? entry one, by 129 meV/atom.

Entry one
This record from the Alexandria database describes an optimized crystal structure of In2Pd7Pt2. The functional is GGA-PBE.

Unit cell a=5.4517 b=6.5630 c=5.4517 alpha=99.86 beta=97.04 gamma=99.86
Closest atoms and distances in Å follow each position.
Element x y z (fractional)
In  0.7087  0.0000  0.2913  8 Pd 2.73-2.86, 2 Pt 2.80
In  0.2913  0.0000  0.7087  8 Pd 2.73-2.86, 2 Pt 2.80
Pd  0.0974  0.3205  0.5250  3 Pt 2.72-2.80, 2 In 2.73-2.79, 4 Pd 2.79-3.00
Pd  0.4750  0.6795  0.9026  3 Pt 2.72-2.80, 2 In 2.73-2.79, 4 Pd 2.79-3.00
Pd  0.9026  0.6795  0.4750  3 Pt 2.72-2.80, 2 In 2.73-2.79, 4 Pd 2.79-3.00
Pd  0.5250  0.3205  0.0974  3 Pt 2.72-2.80, 2 In 2.73-2.79, 4 Pd 2.79-3.00
Pd  0.0000  0.5000  0.0000  2 Pt 2.75, 6 Pd 2.81-2.83
Pd  0.1720  0.9392  0.1720  4 In 2.76-2.86, 1 Pt 2.78, 6 Pd 2.80-3.00
Pd  0.8280  0.0608  0.8280  4 In 2.76-2.86, 1 Pt 2.78, 6 Pd 2.80-3.00
Pt  0.6070  0.3499  0.6070  8 Pd 2.72-2.80, 1 Pt 2.80, 2 In 2.80
Pt  0.3930  0.6501  0.3930  8 Pd 2.72-2.80, 1 Pt 2.80, 2 In 2.80

Results
total magnetization	0.000	Bohr magnetons per cell

Entry two
This record from the Alexandria database describes an optimized crystal structure of In2Pd7Pt2. The functional is GGA-PBE.

Unit cell a=2.8908 b=8.4743 c=8.4743 alpha=68.06 beta=80.18 gamma=80.18
Closest atoms and distances in Å follow each position.
Element x y z (fractional)
In  0.6797  0.9343  0.7063  7 Pd 2.73-2.81, 1 Pt 2.87, 2 In 2.89
In  0.3203  0.2937  0.0657  7 Pd 2.73-2.81, 1 Pt 2.87, 2 In 2.89
Pd  0.8290  0.0408  0.3013  2 In 2.73, 1 Pt 2.75, 8 Pd 2.80-2.93
Pd  0.8454  0.5119  0.7974  2 Pt 2.71, 2 In 2.74, 6 Pd 2.77-2.89
Pd  0.5000  0.9729  0.0271  3 Pt 2.79-2.80, 2 In 2.81, 6 Pd 2.89-2.93
Pd  0.6488  0.4572  0.2452  2 Pt 2.73, 2 In 2.77, 6 Pd 2.77-2.91
Pd  0.3512  0.7548  0.5428  2 Pt 2.73, 2 In 2.77, 6 Pd 2.77-2.91
Pd  0.1710  0.6987  0.9592  2 In 2.73, 1 Pt 2.75, 8 Pd 2.80-2.93
Pd  0.1546  0.2026  0.4881  2 Pt 2.71, 2 In 2.74, 6 Pd 2.77-2.89
Pt  0.0000  0.7198  0.2802  8 Pd 2.73-2.80, 2 Pt 2.89
Pt  0.5000  0.2672  0.7328  5 Pd 2.71-2.79, 2 In 2.87, 2 Pt 2.89

Results
total magnetization	0.000	Bohr magnetons per cell

Which is most stable, and by how much? entry one, by 71 meV/atom.

Entry one
This record from the Alexandria database describes an optimized crystal structure of InPd8Pt6. The functional is GGA-PBE.

Unit cell a=6.8835 b=6.8835 c=7.1920 alpha=61.41 beta=61.41 gamma=60.00
Closest atoms and distances in Å follow each position.
Element x y z (fractional)
In  0.0000  0.0000  0.0000  6 Pt 2.71, 2 Pd 2.97
Pd  0.7010  0.3944  0.6790  4 Pt 2.69-2.80, 5 Pd 2.70-2.87
Pd  0.7744  0.2990  0.3210  4 Pt 2.69-2.80, 5 Pd 2.70-2.87
Pd  0.6056  0.7744  0.3210  4 Pt 2.69-2.80, 5 Pd 2.70-2.87
Pd  0.1650  0.1650  0.5049  3 Pd 2.70, 3 Pt 2.73, 1 In 2.97
Pd  0.8350  0.8350  0.4951  3 Pd 2.70, 3 Pt 2.73, 1 In 2.97
Pd  0.3944  0.2256  0.6790  4 Pt 2.69-2.80, 5 Pd 2.70-2.87
Pd  0.2256  0.7010  0.6790  4 Pt 2.69-2.80, 5 Pd 2.70-2.87
Pd  0.2990  0.6056  0.3210  4 Pt 2.69-2.80, 5 Pd 2.70-2.87
Pt  0.0725  0.5343  0.1349  5 Pd 2.69-2.80, 1 In 2.71, 3 Pt 2.77-2.86
Pt  0.7417  0.9275  0.8651  5 Pd 2.69-2.80, 1 In 2.71, 3 Pt 2.77-2.86
Pt  0.4657  0.7417  0.8651  5 Pd 2.69-2.80, 1 In 2.71, 3 Pt 2.77-2.86
Pt  0.5343  0.2583  0.1349  5 Pd 2.69-2.80, 1 In 2.71, 3 Pt 2.77-2.86
Pt  0.2583  0.0725  0.1349  5 Pd 2.69-2.80, 1 In 2.71, 3 Pt 2.77-2.86
Pt  0.9275  0.4657  0.8651  5 Pd 2.69-2.80, 1 In 2.71, 3 Pt 2.77-2.86

Results
total magnetization	0.005	Bohr magnetons per cell

Entry two
This record from the Alexandria database describes an optimized crystal structure of InPd8Pt6. The functional is GGA-PBE.

Unit cell a=7.4214 b=7.4214 c=6.8901 alpha=57.41 beta=57.41 gamma=60.00
Closest atoms and distances in Å follow each position.
Element x y z (fractional)
In  0.0000  0.0000  0.0000  6 Pt 2.73
Pd  0.5640  0.1828  0.3890  4 Pt 2.62-2.90, 4 Pd 2.67-2.80
Pd  0.8172  0.1358  0.6110  4 Pt 2.62-2.90, 4 Pd 2.67-2.80
Pd  0.1358  0.4360  0.6110  4 Pt 2.62-2.90, 4 Pd 2.67-2.80
Pd  0.7443  0.7443  0.7670  3 Pd 2.73, 6 Pt 2.77-2.84
Pd  0.2557  0.2557  0.2330  3 Pd 2.73, 6 Pt 2.77-2.84
Pd  0.8642  0.5640  0.3890  4 Pt 2.62-2.90, 4 Pd 2.67-2.80
Pd  0.1828  0.8642  0.3890  4 Pt 2.62-2.90, 4 Pd 2.67-2.80
Pd  0.4360  0.8172  0.6110  4 Pt 2.62-2.90, 4 Pd 2.67-2.80
Pt  0.3688  0.0917  0.8797  1 Pt 2.61, 6 Pd 2.62-2.90, 1 In 2.73
Pt  0.9083  0.3402  0.1203  1 Pt 2.61, 6 Pd 2.62-2.90, 1 In 2.73
Pt  0.3402  0.6312  0.1203  1 Pt 2.61, 6 Pd 2.62-2.90, 1 In 2.73
Pt  0.6598  0.3688  0.8797  1 Pt 2.61, 6 Pd 2.62-2.90, 1 In 2.73
Pt  0.0917  0.6598  0.8797  1 Pt 2.61, 6 Pd 2.62-2.90, 1 In 2.73
Pt  0.6312  0.9083  0.1203  1 Pt 2.61, 6 Pd 2.62-2.90, 1 In 2.73

Results
total magnetization	0.000	Bohr magnetons per cell

Which is most stable, and by how much? entry one, by 72 meV/atom.